Entry from Alexandria: a relaxed AlOs2N crystal (PBE-GGA).

Cell lengths 5.832, 5.832, 5.832 Å; angles 90.00, 90.00, 90.00 degrees
Space group Fm-3m (No. 225)
Inequivalent atoms, fractional coordinates:
Al1 0.000 0.000 0.000
Os1 0.250 0.250 0.250
N1 0.000 0.000 0.500

Output
- distance to the lowest polymorph of the same formula (meV/atom) = 756.4
- E_tot (eV/atom) = -7.53